# 1
## Co5IrPt6 (PBE)

Data for a relaxed Co5IrPt6 crystal.

Unit cell a=7.128 b=7.128 c=7.128 alpha=148.89 beta=115.85 gamma=73.01
Fractional positions:
1 Co 0.000 0.000 0.000
2 Co 0.168 0.668 0.500
3 Co 0.333 0.333 0.000
4 Co 0.667 0.667 0.000
5 Co 0.832 0.332 0.500
6 Ir 0.500 0.000 0.500
7 Pt 0.078 0.832 0.246
8 Pt 0.242 0.500 0.742
9 Pt 0.414 0.168 0.246
10 Pt 0.586 0.832 0.754
11 Pt 0.758 0.500 0.258
12 Pt 0.922 0.168 0.754

***

# 2
## NdBi12Rh4 (PBE)

Data for a relaxed NdBi12Rh4 crystal.

Unit cell a=8.530 b=8.530 c=8.530 alpha=109.47 beta=109.47 gamma=109.47
Fractional positions:
1 Nd 0.000 0.000 0.000
2 Bi 0.159 0.492 0.333
3 Bi 0.159 0.826 0.667
4 Bi 0.174 0.333 0.841
5 Bi 0.333 0.159 0.492
6 Bi 0.333 0.841 0.174
7 Bi 0.492 0.333 0.159
8 Bi 0.508 0.667 0.841
9 Bi 0.667 0.159 0.826
10 Bi 0.667 0.841 0.508
11 Bi 0.826 0.667 0.159
12 Bi 0.841 0.174 0.333
13 Bi 0.841 0.508 0.667
14 Rh 0.000 0.000 0.500
15 Rh 0.000 0.500 0.000
16 Rh 0.500 0.000 0.000
17 Rh 0.500 0.500 0.500

***

# 3
## BeVTc (PBE)

Data for a relaxed BeVTc crystal.

Computed properties:
The value obtained for the polymorph energy (0 for the lowest one) is 0.000 eV per atom.

Unit cell a=4.109 b=4.109 c=2.565 alpha=90.00 beta=90.00 gamma=120.00
Fractional positions:
1 Be 0.000 0.000 0.000
2 V 0.667 0.333 0.642
3 Tc 0.333 0.667 0.354

***

Record-wise DFT formation energy values, in eV per atom: -0.057 -0.229 -0.136
Record-wise D(E_F) values, in states/eV/atom: 1.2731 0.5168 0.5925
Record-wise total energy values, in eV/atom: -6.7764 -4.9788 -7.8732